No. 1
Below is an optimized crystal structure of DyTmAl2Ni4, with properties calculated at the PBE-GGA level.

The value obtained for the density is 7.9 g/cm3. The value obtained for the calculated total energy is -5.45 eV/atom.

```
data_DyTmAl2Ni4
_cell_length_a 4.1332
_cell_length_b 4.1332
_cell_length_c 8.8026
_cell_angle_alpha 90.00
_cell_angle_beta 90.00
_cell_angle_gamma 120.00
_space_group_name_H-M_alt 'P -6 m 2'
_space_group_IT_number 187
_space_group_name_Hall 'P -6 2'
loop_
_atom_site_label
_atom_site_type_symbol
_atom_site_fract_x
_atom_site_fract_y
_atom_site_fract_z
Dy1 Dy 0.0000 0.0000 0.0000
Tm1 Tm 0.6667 0.3333 0.5000
Al1 Al 0.3333 0.6667 0.2534
Ni1 Ni 0.0000 0.0000 0.3186
Ni2 Ni 0.6667 0.3333 0.1882
```


No. 2
Below is an optimized crystal structure of HfP2, with properties calculated at the PBE-GGA level.

The value obtained for the density is 8.1 g/cm3. The value obtained for the calculated total energy is -7.85 eV/atom.

```
data_HfP2
_cell_length_a 6.469
_cell_length_b 3.501
_cell_length_c 8.682
_cell_angle_alpha 90.00
_cell_angle_beta 90.00
_cell_angle_gamma 90.00
_space_group_name_H-M_alt 'P n m a'
_space_group_IT_number 62
_space_group_name_Hall '-P 2ac 2n'
loop_
_atom_site_label
_atom_site_type_symbol
_atom_site_fract_x
_atom_site_fract_y
_atom_site_fract_z
Hf1 Hf 0.222 0.250 0.163
P1 P 0.093 0.250 0.857
P2 P 0.110 0.250 0.460
```


No. 3
Below is an optimized crystal structure of PuPaBi, with properties calculated at the PBE-GGA level.

The value obtained for the density is 11.6 g/cm3. The value obtained for the calculated total energy is -8.77 eV/atom.

```
data_PuPaBi
_cell_length_a 7.326
_cell_length_b 7.326
_cell_length_c 7.326
_cell_angle_alpha 90.00
_cell_angle_beta 90.00
_cell_angle_gamma 90.00
_space_group_name_H-M_alt 'F -4 3 m'
_space_group_IT_number 216
_space_group_name_Hall 'F -4 2 3'
loop_
_atom_site_label
_atom_site_type_symbol
_atom_site_fract_x
_atom_site_fract_y
_atom_site_fract_z
Pu1 Pu 0.000 0.000 0.000
Pa1 Pa 0.250 0.250 0.750
Bi1 Bi 0.000 0.000 0.500
```


No. 4
Below is an optimized crystal structure of Li2TaNbAl2Pd2, with properties calculated at the PBE-GGA level.

The value obtained for the density is 7.6 g/cm3. The value obtained for the calculated total energy is -5.68 eV/atom.

```
data_Li2TaNbAl2Pd2
_cell_length_a 4.375
_cell_length_b 4.375
_cell_length_c 6.331
_cell_angle_alpha 90.00
_cell_angle_beta 90.00
_cell_angle_gamma 90.00
_space_group_name_H-M_alt 'P -4 m 2'
_space_group_IT_number 115
_space_group_name_Hall 'P -4 -2'
loop_
_atom_site_label
_atom_site_type_symbol
_atom_site_fract_x
_atom_site_fract_y
_atom_site_fract_z
Li1 Li 0.000 0.500 0.249
Ta1 Ta 0.500 0.500 0.000
Nb1 Nb 0.000 0.000 0.500
Al1 Al 0.000 0.000 0.000
Al2 Al 0.500 0.500 0.500
Pd1 Pd 0.000 0.500 0.768
```


No. 5
Below is an optimized crystal structure of Li4InAg2Sb, with properties calculated at the PBE-GGA level.

The value obtained for the density is 5.7 g/cm3. The value obtained for the calculated total energy is -2.90 eV/atom.

```
data_Li4InAg2Sb
_cell_length_a 4.584
_cell_length_b 4.584
_cell_length_c 6.690
_cell_angle_alpha 90.00
_cell_angle_beta 90.00
_cell_angle_gamma 90.00
_space_group_name_H-M_alt 'P -4 m 2'
_space_group_IT_number 115
_space_group_name_Hall 'P -4 -2'
loop_
_atom_site_label
_atom_site_type_symbol
_atom_site_fract_x
_atom_site_fract_y
_atom_site_fract_z
Li1 Li 0.000 0.000 0.000
Li2 Li 0.000 0.500 0.250
Li3 Li 0.500 0.500 0.500
In1 In 0.000 0.000 0.500
Ag1 Ag 0.000 0.500 0.745
Sb1 Sb 0.500 0.500 0.000
```


No. 6
Below is an optimized crystal structure of DyHoB2As2Ir2, with properties calculated at the PBE-GGA level.

The value obtained for the density is 10.8 g/cm3. The value obtained for the calculated total energy is -7.06 eV/atom.

```
data_DyHoB2As2Ir2
_cell_length_a 3.958
_cell_length_b 3.958
_cell_length_c 8.646
_cell_angle_alpha 90.00
_cell_angle_beta 90.00
_cell_angle_gamma 90.00
_space_group_name_H-M_alt 'P 4 m m'
_space_group_IT_number 99
_space_group_name_Hall 'P 4 -2'
loop_
_atom_site_label
_atom_site_type_symbol
_atom_site_fract_x
_atom_site_fract_y
_atom_site_fract_z
Dy1 Dy 0.000 0.000 0.000
Ho1 Ho 0.500 0.500 0.423
B1 B 0.000 0.000 0.604
B2 B 0.500 0.500 0.819
As1 As 0.000 0.000 0.355
As2 As 0.500 0.500 0.069
Ir1 Ir 0.000 0.500 0.711
```


No. 7
Below is an optimized crystal structure of Gd2YCd3Ir2Pt, with properties calculated at the PBE-GGA level.

Its formation energy from the elements is -0.66 eV per atom. The value obtained for the density is 11.3 g/cm3. The value obtained for the calculated total energy is -5.35 eV/atom.

```
data_Gd2YCd3Ir2Pt
_cell_length_a 3.964
_cell_length_b 13.028
_cell_length_c 7.512
_cell_angle_alpha 90.00
_cell_angle_beta 90.00
_cell_angle_gamma 90.00
_space_group_name_H-M_alt 'A m m 2'
_space_group_IT_number 38
_space_group_name_Hall 'A 2 -2'
loop_
_atom_site_label
_atom_site_type_symbol
_atom_site_fract_x
_atom_site_fract_y
_atom_site_fract_z
Gd1 Gd 0.000 0.204 0.000
Y1 Y 0.000 0.000 0.389
Cd1 Cd 0.500 0.000 0.055
Cd2 Cd 0.500 0.129 0.666
Ir1 Ir 0.500 0.167 0.296
Pt1 Pt 0.000 0.000 0.796
```


No. 8
Below is an optimized crystal structure of Nd3Ir, with properties calculated at the PBE-GGA level.

Its formation energy from the elements is -0.45 eV per atom. The value obtained for the density is 8.7 g/cm3. The value obtained for the calculated total energy is -6.24 eV/atom.

```
data_Nd3Ir
_cell_length_a 7.382
_cell_length_b 9.864
_cell_length_c 6.527
_cell_angle_alpha 90.00
_cell_angle_beta 90.00
_cell_angle_gamma 90.00
_space_group_name_H-M_alt 'P n m a'
_space_group_IT_number 62
_space_group_name_Hall '-P 2ac 2n'
loop_
_atom_site_label
_atom_site_type_symbol
_atom_site_fract_x
_atom_site_fract_y
_atom_site_fract_z
Nd1 Nd 0.035 0.250 0.142
Nd2 Nd 0.176 0.065 0.671
Ir1 Ir 0.119 0.750 0.439
```


No. 9
Below is an optimized crystal structure of ZrTc, with properties calculated at the PBE-GGA level.

Its formation energy from the elements is 0.10 eV per atom. The value obtained for the density is 8.5 g/cm3. The value obtained for the calculated total energy is -9.35 eV/atom.

```
data_ZrTc
_cell_length_a 3.1996
_cell_length_b 3.1996
_cell_length_c 4.1916
_cell_angle_alpha 90.00
_cell_angle_beta 90.00
_cell_angle_gamma 120.00
_space_group_name_H-M_alt 'P -6 m 2'
_space_group_IT_number 187
_space_group_name_Hall 'P -6 2'
loop_
_atom_site_label
_atom_site_type_symbol
_atom_site_fract_x
_atom_site_fract_y
_atom_site_fract_z
Zr1 Zr 0.0000 0.0000 0.0000
Tc1 Tc 0.3333 0.6667 0.5000
```


No. 10
Below is an optimized crystal structure of Dy2Sn3Hg3, with properties calculated at the PBE-GGA level.

The value obtained for the density is 10.8 g/cm3. The value obtained for the calculated total energy is -3.19 eV/atom.

```
data_Dy2Sn3Hg3
_cell_length_a 4.610
_cell_length_b 4.760
_cell_length_c 9.006
_cell_angle_alpha 90.00
_cell_angle_beta 90.00
_cell_angle_gamma 90.00
_space_group_name_H-M_alt 'P m m m'
_space_group_IT_number 47
_space_group_name_Hall '-P 2 2'
loop_
_atom_site_label
_atom_site_type_symbol
_atom_site_fract_x
_atom_site_fract_y
_atom_site_fract_z
Dy1 Dy 0.000 0.000 0.247
Sn1 Sn 0.000 0.500 0.000
Sn2 Sn 0.500 0.000 0.000
Sn3 Sn 0.500 0.000 0.500
Hg1 Hg 0.000 0.500 0.500
Hg2 Hg 0.500 0.500 0.255
```